LiZrIrPb, relaxed, DFT PBE; formation energy from the elements = -495 meV/atom; final energy = -0.22979 Ha/atom; M_tot = 0.000 μB per atom
1.0
0.0000 3.2937 3.2937
3.2937 0.0000 3.2937
3.2937 3.2937 0.0000
Li Zr Ir Pb
1 1 1 1
direct
0.0000 0.0000 0.0000 Li
0.7500 0.7500 0.7500 Zr
0.5000 0.5000 0.5000 Ir
0.2500 0.2500 0.2500 Pb